Below is B2SbCl at its PBEsol-relaxed geometry, with properties calculated at the SCAN level.

The structure in POSCAR format:
```
B2SbCl
1.0
-2.799 0.940 -3.210
1.178 -0.576 -4.159
-1.785 -3.213 -2.347
Sb B Cl
1 2 1
direct
0.500 0.500 0.500
0.250 0.250 0.250
0.750 0.750 0.750
0.000 0.000 0.000
```

Output
Crystal system: cubic
E_form (uncorrected): 1.7631 eV/atom


Below is BSbCl3 at its PBEsol-relaxed geometry, with properties calculated at the SCAN level.

The structure in POSCAR format:
```
BSbCl3
1.0
-0.240 -2.270 -3.827
4.382 -0.785 0.190
-0.771 -3.753 2.274
Sb B Cl
1 1 3
direct
0.500 0.500 0.500
0.000 0.000 0.000
0.000 0.500 0.000
0.000 0.000 0.500
0.500 0.000 0.000
```

Output
Crystal system: cubic
E_form (uncorrected): 0.4496 eV/atom


Below is BSbTe2Cl at its PBEsol-relaxed geometry, with properties calculated at the SCAN level.

The structure in POSCAR format:
```
BSbTe2Cl
1.0
-4.888 -1.059 -1.229
-0.583 -2.609 4.567
-1.562 4.474 2.356
Sb B Te Cl
1 1 2 1
direct
0.500 0.000 0.000
0.500 0.500 0.500
0.000 0.000 0.500
0.000 0.500 0.000
0.000 0.000 0.000
```

Output
Crystal system: tetragonal
E_form (uncorrected): 1.6828 eV/atom


| no. | density of states at the Fermi level (states/eV/f.u.) |
| --- | --- |
| 1 | 1.4 |
| 2 | 2.7 |
| 3 | 5.9 |